(1)
Here is crystalline Ca2Mg12Zn3Ag at its relaxed geometry from the Alexandria database. Energies are from PBE.

It has space group R-3m (No. 166, hexagonal axes), with a = 7.2948 Å, b = 7.2948 Å, c = 30.3925 Å, α = 90.00°, β = 90.00° and γ = 120.00°. The asymmetric unit holds Ca at (0.0000, 0.0000, 0.1430), Mg at (0.0310, 0.5155, 0.1016), Mg at (0.0626, 0.5313, 0.6223), Zn at (0.0000, 0.5000, 0.0000) and Ag at (0.0000, 0.0000, 0.5000).

As for the formation energy: 0.120 eV per atom. The value obtained for the magnetic moment is 0.00 μB per cell. Its density of states at the Fermi level is 0.57 states/eV per atom. The calculation puts the total energy at -27.65 eV/f.u.


(2)
Here is crystalline YHoEr3Th at its relaxed geometry from the Alexandria database. Energies are from PBE.

It has space group P2_1/m (No. 11), with a = 10.5830 Å, b = 3.5463 Å, c = 10.5831 Å, α = 90.00°, β = 109.24° and γ = 90.00°. The asymmetric unit holds Y at (0.2088, 0.2500, 0.3748), Ho at (0.1253, 0.7500, 0.6276), Er at (0.0427, 0.2500, 0.8753), Er at (0.2933, 0.7500, 0.1207), Er at (0.4586, 0.7500, 0.6276) and Th at (0.3764, 0.2500, 0.8745).

As for the formation energy: 0.024 eV per atom. The value obtained for the magnetic moment is 0.00 μB per cell. Its density of states at the Fermi level is 1.46 states/eV per atom. The calculation puts the total energy at -32.01 eV/f.u.


> Number 1 is which compound?

Ca2Mg12Zn3Ag


> Look up the magnetic moment of the second one.

0.00 μB per cell


> Look up the magnetic moment of the first one.

0.00 μB per cell